The following is a DFT calculation (PBEsol) of LiEr2Ir after structural relaxation.

Summary:
Calculated formation energy ... -0.602 eV per atom
Fermi-level density of states ... 2.1 states/eV per cell

a b c (Å): 4.7985 4.7985 4.7985
angles (deg): 60.00 60.00 60.00
Last column: nearest neighbours and their distance in Å.
Element x y z (fractional)
Ir 0.5000 0.5000 0.5000  8 Er 2.94
Li 0.0000 0.0000 0.0000  8 Er 2.94
Er 0.7500 0.7500 0.7500  4 Li 2.94, 4 Ir 2.94
Er 0.2500 0.2500 0.2500  4 Li 2.94, 4 Ir 2.94